This record from the Alexandria database describes an optimized crystal structure of Dy2ErIn2Ag2. The functional is PBE.

Calculated values
For the density of states at the Fermi level, the calculation gives 4.977 states/eV per cell. As for the space group: No. 166. The calculation puts the volume at 25.597 Å³/atom. Its crystal system is trigonal. The calculation puts the formation energy at -0.268 eV/atom. The total energy is -26.82 eV for the cell shown. The value obtained for the calculated density is 8.7 Mg/m³.

a b c (Å): 4.826 4.826 9.309
angles (deg): 74.98 74.98 60.00
Positions (direct):
Ag 0.394 0.394 0.817
Er 0.000 0.000 0.000
In 0.739 0.739 0.782
Ag 0.606 0.606 0.183
Dy 0.874 0.874 0.378
In 0.261 0.261 0.218
Dy 0.126 0.126 0.622


This record from the Alexandria database describes an optimized crystal structure of SrAcNCl. The functional is PBE.

Calculated values
For the density of states at the Fermi level, the calculation gives 1.977 states/eV per cell. As for the space group: No. 160. The calculation puts the volume at 24.268 Å³/atom. Its crystal system is trigonal. The total energy is -21.36 eV for the cell shown. The uncorrected formation energy is -1348.8 meV/atom. The value obtained for the calculated density is 6.2 Mg/m³.

a b c (Å): 3.864 3.864 7.833
angles (deg): 90.00 104.28 120.00
Site moments in Bohr magnetons follow the coordinates.
Positions (direct):
N 0.305 0.550 0.870  -0.02
Sr 0.505 0.150 0.670  0.05
Ac 0.095 0.945 0.055  0.10
Cl 0.974 0.385 0.374  0.00


This record from the Alexandria database describes an optimized crystal structure of NiMo2Ru. The functional is PBE.

Calculated values
For the density of states at the Fermi level, the calculation gives 2.364 states/eV per cell. As for the space group: No. 123. The calculation puts the volume at 14.084 Å³/atom. Its crystal system is tetragonal. The calculation puts the formation energy at -0.026 eV/atom. The total energy is -36.82 eV for the cell shown. The value obtained for the calculated density is 10.4 Mg/m³.

a b c (Å): 3.826 3.825 3.849
angles (deg): 90.00 90.00 90.00
Positions (direct):
Ru 0.000 0.500 0.500
Ni 0.500 0.000 0.500
Mo 0.000 0.000 0.000
Mo 0.500 0.500 0.000


This record from the Alexandria database describes an optimized crystal structure of LiCaBiO3. The functional is PBE.

Calculated values
For the density of states at the Fermi level, the calculation gives 0.000 states/eV per cell. As for the space group: No. 11. The calculation puts the volume at 15.603 Å³/atom. Its crystal system is monoclinic. The total energy is -68.19 eV for the cell shown. The uncorrected formation energy is -1904.1 meV/atom. The value obtained for the calculated density is 5.4 Mg/m³.

a b c (Å): 3.417 8.776 6.292
angles (deg): 97.13 90.00 90.00
Positions (direct):
Bi 0.250 0.650 0.191
O 0.750 0.152 0.462
O 0.250 0.848 0.538
Ca 0.250 0.245 0.256
Li 0.750 0.930 0.386
O 0.750 0.801 0.112
O 0.250 0.580 0.834
O 0.750 0.420 0.166
O 0.250 0.199 0.888
Bi 0.750 0.350 0.809
Ca 0.750 0.755 0.744
Li 0.250 0.070 0.614


This record from the Alexandria database describes an optimized crystal structure of CaLuPb. The functional is PBE.

Calculated values
For the density of states at the Fermi level, the calculation gives 1.882 states/eV per cell. As for the space group: No. 107. The calculation puts the volume at 30.770 Å³/atom. Its crystal system is tetragonal. The calculation puts the formation energy at -0.268 eV/atom. The total energy is -11.04 eV for the cell shown. The value obtained for the calculated density is 7.6 Mg/m³.

a b c (Å): 3.595 3.595 7.582
angles (deg): 103.71 103.71 90.00
Positions (direct):
Lu 0.967 0.967 0.934
Ca 0.271 0.271 0.542
Pb 0.612 0.612 0.225


This record from the Alexandria database describes an optimized crystal structure of KHf3Mg. The functional is PBE.

Calculated values
The energy above the most stable polymorph in this dataset is 2.67 eV per formula unit. For the density of states at the Fermi level, the calculation gives 7.520 states/eV per cell. As for the space group: No. 221. The calculation puts the volume at 24.920 Å³/atom. Its crystal system is cubic. The calculation puts the formation energy at 2.034 eV/atom. The total energy is -22.38 eV for the cell shown. The value obtained for the calculated density is 8.0 Mg/m³.

a b c (Å): 4.995 4.995 4.995
angles (deg): 90.00 90.00 90.00
Site moments in Bohr magnetons follow the coordinates.
Positions (direct):
Hf 0.500 0.000 0.000  0.22
Mg 0.500 0.500 0.500  0.00
Hf 0.000 0.500 0.000  0.25
Hf 0.000 0.000 0.500  0.23
K 0.000 0.000 0.000  0.10


This record from the Alexandria database describes an optimized crystal structure of PrNd14Pu. The functional is PBE.

Calculated values
For the density of states at the Fermi level, the calculation gives 32.217 states/eV per cell. As for the space group: No. 123. The calculation puts the volume at 34.831 Å³/atom. Its crystal system is tetragonal. The calculation puts the formation energy at 0.043 eV/atom. The total energy is -85.17 eV for the cell shown. The value obtained for the calculated density is 7.2 Mg/m³.

a b c (Å): 7.339 7.339 10.348
angles (deg): 90.00 90.00 89.99
Site moments in Bohr magnetons follow the coordinates.
Positions (direct):
Nd 0.628 0.878 0.753  0.03
Nd 0.628 0.878 0.247  0.03
Nd 0.122 0.372 0.247  0.03
Nd 0.375 0.125 0.500  0.00
Pu 0.875 0.125 0.000  5.61
Nd 0.122 0.372 0.753  0.03
Nd 0.123 0.877 0.753  0.03
Nd 0.875 0.625 0.500  0.00
Nd 0.123 0.877 0.247  0.03
Nd 0.375 0.125 0.000  0.05
Nd 0.627 0.373 0.753  0.03
Nd 0.375 0.625 0.500  -0.02
Pr 0.375 0.625 0.000  -0.03
Nd 0.875 0.625 0.000  0.05
Nd 0.875 0.125 0.500  -0.02
Nd 0.627 0.373 0.247  0.03


This record from the Alexandria database describes an optimized crystal structure of Sc5PdPt2. The functional is PBE.

Calculated values
For the density of states at the Fermi level, the calculation gives 11.219 states/eV per cell. As for the space group: No. 55. The calculation puts the volume at 19.770 Å³/atom. Its crystal system is orthorhombic. The calculation puts the formation energy at -0.891 eV/atom. The total energy is -112.12 eV for the cell shown. The value obtained for the calculated density is 7.6 Mg/m³.

a b c (Å): 4.608 6.218 11.041
angles (deg): 90.00 90.00 90.00
Positions (direct):
Sc 0.000 0.160 0.780
Sc 0.000 0.000 0.500
Pt 0.500 0.905 0.647
Sc 0.000 0.340 0.280
Sc 0.500 0.679 0.397
Sc 0.500 0.179 0.103
Pt 0.500 0.595 0.147
Pd 0.000 0.500 0.500
Sc 0.500 0.821 0.897
Sc 0.000 0.500 0.000
Pt 0.500 0.095 0.353
Pt 0.500 0.405 0.853
Sc 0.000 0.840 0.220
Sc 0.000 0.660 0.720
Sc 0.500 0.321 0.603
Pd 0.000 0.000 0.000


This record from the Alexandria database describes an optimized crystal structure of LiTb2GeO6. The functional is PBE.

Calculated values
For the density of states at the Fermi level, the calculation gives 6.438 states/eV per cell. As for the space group: No. 148. The calculation puts the volume at 11.046 Å³/atom. Its crystal system is trigonal. The total energy is -70.38 eV for the cell shown. The uncorrected formation energy is -2483.7 meV/atom. The value obtained for the calculated density is 7.4 Mg/m³.

a b c (Å): 5.512 5.512 5.268
angles (deg): 58.45 58.45 60.00
Site moments in Bohr magnetons follow the coordinates.
Positions (direct):
Tb 0.066 0.066 0.801  0.00
Ge 0.316 0.316 0.052  -0.01
Tb 0.566 0.566 0.303  0.00
O 0.084 0.466 0.803  0.14
O 0.647 0.083 0.804  0.14
O 0.549 0.166 0.299  0.14
Li 0.816 0.816 0.552  0.00
O 0.466 0.647 0.804  0.14
O 0.985 0.549 0.299  0.14
O 0.166 0.985 0.299  0.14


This record from the Alexandria database describes an optimized crystal structure of LaCe2TmTe5. The functional is PBE.

Calculated values
For the density of states at the Fermi level, the calculation gives 21.521 states/eV per cell. As for the space group: No. 123. The calculation puts the volume at 39.276 Å³/atom. Its crystal system is tetragonal. The total energy is -45.32 eV for the cell shown. The uncorrected formation energy is -927.4 meV/atom. The value obtained for the calculated density is 5.8 Mg/m³.

a b c (Å): 5.463 5.463 11.845
angles (deg): 90.00 90.00 90.00
Site moments in Bohr magnetons follow the coordinates.
Positions (direct):
Te 0.000 0.000 0.251  -0.01
Te 0.000 0.000 0.749  -0.01
Te 0.500 0.000 0.500  -0.01
Tm 0.000 0.000 0.500  0.11
La 0.000 0.000 0.000  0.22
Te 0.500 0.500 0.000  -0.01
Te 0.000 0.500 0.500  -0.01
Ce 0.500 0.500 0.674  1.39
Ce 0.500 0.500 0.326  1.39


This record from the Alexandria database describes an optimized crystal structure of Pr2SbS. The functional is PBE.

Calculated values
The energy above the most stable polymorph in this dataset is 0.00 eV per formula unit. For the density of states at the Fermi level, the calculation gives 1.979 states/eV per cell. As for the space group: No. 166. The calculation puts the volume at 28.886 Å³/atom. Its crystal system is trigonal. The total energy is -24.09 eV for the cell shown. The uncorrected formation energy is -1569.9 meV/atom. The value obtained for the calculated density is 6.3 Mg/m³.

a b c (Å): 4.337 4.337 7.523
angles (deg): 73.25 73.25 60.00
Positions (direct):
Sb 0.500 0.500 0.500
S 0.000 0.000 0.000
Pr 0.743 0.743 0.772
Pr 0.257 0.257 0.228


This record from the Alexandria database describes an optimized crystal structure of LaCr2Cd2. The functional is PBE.

Calculated values
The energy above the most stable polymorph in this dataset is 0.72 eV per formula unit. For the density of states at the Fermi level, the calculation gives 11.234 states/eV per cell. As for the space group: No. 127. The calculation puts the volume at 20.645 Å³/atom. Its crystal system is tetragonal. The calculation puts the formation energy at 0.433 eV/atom. The total energy is -47.68 eV for the cell shown. The value obtained for the calculated density is 7.5 Mg/m³.

a b c (Å): 8.171 8.171 3.092
angles (deg): 90.00 90.00 90.00
Site moments in Bohr magnetons follow the coordinates.
Positions (direct):
Cd 0.805 0.305 0.500  -0.01
Cd 0.305 0.195 0.500  -0.01
Cd 0.695 0.805 0.500  -0.01
Cr 0.918 0.582 0.000  0.63
La 0.000 0.000 0.000  -0.13
Cr 0.418 0.918 0.000  0.63
La 0.500 0.500 0.000  -0.13
Cr 0.582 0.082 0.000  0.63
Cr 0.082 0.418 0.000  0.63
Cd 0.195 0.695 0.500  -0.01


Question: Look up the calculated density of the sixth one.
Answer: 8.0 Mg/m³


Question: Look up the calculated density of the sixth one.
Answer: 8.0 Mg/m³


Question: Which of these has the lowest calculated density?
Answer: LiCaBiO3


Question: What is the formula in the twelfth record?
Answer: LaCr2Cd2